Density functional theory data (PBEsol) for a geometry-optimized LaYSc2 structure.

The formation energy comes out at 0.065 eV/atom. The value obtained for the energy relative to the lowest polymorph listed for this composition is 19.6 meV/atom. The calculation puts the uncorrected energy at -6.280 eV/atom. The calculation puts the density of states at the Fermi level at 4.911 states/eV/cell.

Unit cell a=5.793 b=5.793 c=5.869 alpha=99.86 beta=99.86 gamma=34.34
Element x y z (fractional)
La 0.000 0.000 0.000
Y 0.500 0.500 0.500
Sc 0.251 0.251 0.751
Sc 0.749 0.749 0.249